The following is a PBE-GGA calculation of a geometry-optimized Cs2NaSbF6 structure, from Alexandria via LeMat-Bulk.

Values from the calculation:
Mass density ... 4.4 g/cm3
Magnetization ... 0.00 μB/atom
Formation energy from raw total energies ... -2554 kJ/mol of formula units

Cell: 6.5263 6.5263 6.5263 Å, 60.00 60.00 60.00°
Fractional positions:
Cs1 0.2500 0.2500 0.2500
Cs2 0.7500 0.7500 0.7500
Sb1 0.0000 0.0000 0.0000
F1 0.2410 0.7590 0.7590
F2 0.7590 0.2410 0.7590
F3 0.2410 0.7590 0.2410
F4 0.2410 0.2410 0.7590
F5 0.7590 0.7590 0.2410
F6 0.7590 0.2410 0.2410
Na1 0.5000 0.5000 0.5000

The following is a PBE-GGA calculation of a geometry-optimized CsNaScF6 structure, from Alexandria via LeMat-Bulk.

Values from the calculation:
Mass density ... 3.1 g/cm3
Magnetization ... 0.11 μB/atom
Formation energy from raw total energies ... -2581 kJ/mol of formula units

Cell: 7.3075 7.9784 7.8944 Å, 120.35 117.57 90.00°
Fractional positions:
Cs1 0.8623 0.6123 0.7246
Cs2 0.1377 0.3877 0.2754
Na1 0.5000 0.0000 0.5000
Na2 0.0000 0.0000 0.5000
Sc1 0.5000 0.5000 0.0000
Sc2 0.5000 0.0000 0.0000
F1 0.4594 0.7094 0.9188
F2 0.8763 0.1263 0.7527
F3 0.8163 0.0925 0.2490
F4 0.4327 0.6565 0.2490
F5 0.4327 0.0925 0.2490
F6 0.8163 0.6565 0.2490
F7 0.5406 0.2906 0.0812
F8 0.1237 0.8737 0.2473
F9 0.1837 0.9075 0.7510
F10 0.5673 0.3435 0.7510
F11 0.5673 0.9075 0.7510
F12 0.1837 0.3435 0.7510

Copy entry 2 word for word.
The following is a PBE-GGA calculation of a geometry-optimized CsNaScF6 structure, from Alexandria via LeMat-Bulk.

Values from the calculation:
Mass density ... 3.1 g/cm3
Magnetization ... 0.11 μB/atom
Formation energy from raw total energies ... -2581 kJ/mol of formula units

Cell: 7.3075 7.9784 7.8944 Å, 120.35 117.57 90.00°
Fractional positions:
Cs1 0.8623 0.6123 0.7246
Cs2 0.1377 0.3877 0.2754
Na1 0.5000 0.0000 0.5000
Na2 0.0000 0.0000 0.5000
Sc1 0.5000 0.5000 0.0000
Sc2 0.5000 0.0000 0.0000
F1 0.4594 0.7094 0.9188
F2 0.8763 0.1263 0.7527
F3 0.8163 0.0925 0.2490
F4 0.4327 0.6565 0.2490
F5 0.4327 0.0925 0.2490
F6 0.8163 0.6565 0.2490
F7 0.5406 0.2906 0.0812
F8 0.1237 0.8737 0.2473
F9 0.1837 0.9075 0.7510
F10 0.5673 0.3435 0.7510
F11 0.5673 0.9075 0.7510
F12 0.1837 0.3435 0.7510